The following is a PBE calculation of a relaxed structure of SrSc2Tc, from the Alexandria database.

Its formation energy is 0.224 eV/atom. Its raw total energy is -5.954 eV/atom. As for the distance to the lowest polymorph of the same formula: 0.225 eV/atom.

The space group is Cm (No. 8) and the conventional cell measures 9.2722, 4.0015 and 6.6868 Å, with angles of 90.00, 115.16 and 90.00 degrees. The inequivalent atoms are Sr at (0.0000, 0.0000, 0.0000), Sc at (0.1783, 0.0000, 0.6273), Sc at (0.3980, 0.0000, 0.3770) and Tc at (0.2220, 0.5000, 0.4183).